1.
DFT (GGA-PBE) results for a relaxed Lu5Pb crystal.

Geometry as POSCAR:
```
Lu5Pb
1.0
4.787 0.000 0.000
0.000 14.661 0.000
0.000 0.000 4.820
Lu Pb
10 2
Direct
0.000 0.000 0.000
0.000 0.164 0.500
0.000 0.328 0.000
0.000 0.672 0.000
0.000 0.836 0.500
0.500 0.172 0.000
0.500 0.336 0.500
0.500 0.500 0.000
0.500 0.664 0.500
0.500 0.828 0.000
0.000 0.500 0.500
0.500 0.000 0.500
```

Computed properties:
energy	-4.55	eV per atom
space-group type	Cmmm
E_form	-0.166	eV per atom
crystal system	orthorhombic
M_tot	0.0	μB per formula unit



2.
DFT (GGA-PBE) results for a relaxed AlSi2Ru crystal.

Geometry as POSCAR:
```
AlSi2Ru
1.0
2.974 0.000 0.000
0.000 4.970 0.000
0.000 0.000 7.995
Al Si Ru
2 4 2
Direct
0.000 0.000 0.000
0.500 0.500 0.000
0.000 0.500 0.264
0.000 0.500 0.736
0.500 0.000 0.264
0.500 0.000 0.736
0.000 0.000 0.500
0.500 0.500 0.500
```

Computed properties:
energy	-5.90	eV per atom
space-group type	Cmmm
formation energy (no corrections)	0.068	eV per atom
crystal system	orthorhombic
M_tot	0.0	μB per formula unit



3.
DFT (GGA-PBE) results for a relaxed Tm2MnGa4 crystal.

Geometry as POSCAR:
```
Tm2MnGa4
1.0
4.505 0.000 0.000
0.000 4.505 0.000
0.000 0.000 14.474
Tm Mn Ga
4 2 8
Direct
0.000 0.000 0.140
0.000 0.000 0.860
0.500 0.500 0.360
0.500 0.500 0.640
0.000 0.000 0.500
0.500 0.500 0.000
0.000 0.000 0.336
0.000 0.000 0.664
0.000 0.500 0.000
0.000 0.500 0.500
0.500 0.000 0.000
0.500 0.000 0.500
0.500 0.500 0.164
0.500 0.500 0.836
```

Computed properties:
energy	-4.55	eV per atom
space-group type	I4/mmm
E_form	-0.230	eV per atom
crystal system	tetragonal
M_tot	0.8	μB per formula unit



Question: Which value of energy does entry 2 give?
Answer: -5.90 eV per atom



Question: What is the M_tot in the second record?
Answer: 0.0 μB per formula unit